DFT (PBE) results for a relaxed La2HfAlO6 crystal.

The size of the total moment is 0.00 μB per formula unit. The density of states at the Fermi level comes out at 3.9 states/eV/f.u. The uncorrected formation energy is -3.18 eV per atom.

The structure belongs to space group P4/mmm (No. 123); the cell edges are 4.0442, 4.0442 and 7.8047 Å and the angles 90.00°, 90.00° and 90.00°. The asymmetric unit holds La at (0.0000, 0.0000, 0.2264), Hf at (0.5000, 0.5000, 0.5000), Al at (0.5000, 0.5000, 0.0000), O at (0.0000, 0.5000, 0.0000), O at (0.0000, 0.5000, 0.5000) and O at (0.5000, 0.5000, 0.2349).



DFT (PBE) results for a relaxed ScAlRu2 crystal.

The size of the total moment is 0.00 μB per formula unit. The density of states at the Fermi level comes out at 3.7 states/eV/f.u. For the calculated total energy, the calculation gives -7.163 eV per atom.

The structure belongs to space group R3m (No. 160, hexagonal axes); the cell edges are 2.9093, 2.9093 and 26.5359 Å and the angles 90.00°, 90.00° and 120.00°. The asymmetric unit holds Sc at (0.0000, 0.0000, 0.0000), Al at (0.0000, 0.0000, 0.7636), Ru at (0.0000, 0.0000, 0.2499) and Ru at (0.0000, 0.0000, 0.5055).